VASP calculation (PBE-GGA) on a relaxed Pr7Dy2Sc crystal.

Output
Energy relative to the elements, eV per atom: 0.64
Crystal system: orthorhombic
DOS at the Fermi energy, states/eV/f.u.: 15.47

a = 8.904 Å, b = 17.066 Å, c = 5.441 Å
α = 90.00°, β = 90.00°, γ = 90.00°
Space group Cmmm (No. 65)
Symmetry-distinct sites (fractional):
Pr 0.000 0.000 0.000
Pr 0.000 0.298 0.500
Pr 0.180 0.392 0.000
Dy 0.000 0.205 0.000
Sc 0.000 0.500 0.500

VASP calculation (PBE-GGA) on a relaxed KLiInHg2 crystal.

Output
Energy relative to the elements, eV per atom: -0.11
Crystal system: tetragonal
DOS at the Fermi energy, states/eV/f.u.: 2.77

a = 5.262 Å, b = 5.262 Å, c = 5.241 Å
α = 90.00°, β = 90.00°, γ = 90.00°
Space group P4/mmm (No. 123)
Symmetry-distinct sites (fractional):
K 0.000 0.000 0.000
Li 0.500 0.500 0.500
In 0.500 0.500 0.000
Hg 0.000 0.500 0.500

VASP calculation (PBE-GGA) on a relaxed HfGe2W crystal.

Output
Energy relative to the elements, eV per atom: -0.01
Crystal system: cubic
Polymorph energy (0 for the lowest one), eV per formula unit: 0.00
DOS at the Fermi energy, states/eV/f.u.: 2.17

a = 6.450 Å, b = 6.450 Å, c = 6.450 Å
α = 90.00°, β = 90.00°, γ = 90.00°
Space group Fm-3m (No. 225)
Symmetry-distinct sites (fractional):
Hf 0.000 0.000 0.000
Ge 0.250 0.250 0.250
W 0.000 0.000 0.500

VASP calculation (PBE-GGA) on a relaxed CaCoSb2I crystal.

Output
Crystal system: tetragonal
Polymorph energy (0 for the lowest one), eV per formula unit: 0.00
DOS at the Fermi energy, states/eV/f.u.: 3.13
Uncorrected formation energy, meV per atom: -105

a = 4.872 Å, b = 4.872 Å, c = 6.185 Å
α = 90.00°, β = 90.00°, γ = 90.00°
Space group P4/mmm (No. 123)
Symmetry-distinct sites (fractional):
Ca 0.000 0.000 0.000
Co 0.500 0.500 0.500
Sb 0.000 0.500 0.500
I 0.500 0.500 0.000

VASP calculation (PBE-GGA) on a relaxed Tl3CdBr5 crystal.

Output
Crystal system: tetragonal
DOS at the Fermi energy, states/eV/f.u.: 0.00
Uncorrected formation energy, meV per atom: -836

a = 8.687 Å, b = 8.687 Å, c = 16.492 Å
α = 90.00°, β = 90.00°, γ = 90.00°
Space group I4/mcm (No. 140)
Symmetry-distinct sites (fractional):
Tl 0.000 0.000 0.250
Tl 0.155 0.345 0.000
Cd 0.000 0.500 0.250
Br 0.000 0.000 0.000
Br 0.166 0.334 0.350

VASP calculation (PBE-GGA) on a relaxed K2InSn3Pd4 crystal.

Output
Energy relative to the elements, eV per atom: -0.42
Crystal system: tetragonal
DOS at the Fermi energy, states/eV/f.u.: 4.40

a = 4.780 Å, b = 4.780 Å, c = 10.690 Å
α = 90.00°, β = 90.00°, γ = 90.00°
Space group P-4m2 (No. 115)
Symmetry-distinct sites (fractional):
K 0.000 0.500 0.243
In 0.000 0.000 0.500
Sn 0.000 0.500 0.883
Sn 0.500 0.500 0.500
Pd 0.000 0.000 0.000
Pd 0.000 0.500 0.630
Pd 0.500 0.500 0.000